[1]
Below is a geometry-optimized Hg2I3Cl structure, with properties calculated at the PBE level.

Cell: 4.3592 4.5380 12.5347 Å, 90.00 90.00 90.00°
Element x y z (fractional)
1 Cl 0.0000 0.0000 0.6231
2 Hg 0.0000 0.5000 0.9992
3 I 0.0000 0.0000 0.1411
4 I 0.5000 0.5000 0.3736
5 I 0.5000 0.5000 0.8542
6 Hg 0.5000 0.0000 0.5088

Properties
- Crystal system: orthorhombic
- V: 41.3 Å³/atom
- Calculated total energy: -1.537 eV/atom


[2]
Below is a geometry-optimized Hg2ICl structure, with properties calculated at the PBE level.

Cell: 6.6829 6.6829 6.6829 Å, 136.45 136.45 63.28°
Element x y z (fractional)
1 Cl 0.3388 0.3388 0.0000
2 I 0.6493 0.6493 0.0000
3 Hg 0.8902 0.8902 0.0000
4 Hg 0.1218 0.1218 0.0000

Properties
- Crystal system: tetragonal
- V: 35.0 Å³/atom
- Calculated total energy: -1.388 eV/atom


[3]
Below is a geometry-optimized Hg4SI2Cl4 structure, with properties calculated at the PBE level.

Cell: 6.8138 5.4792 18.1275 Å, 90.00 100.40 90.00°
Element x y z (fractional)
1 Hg 0.3386 0.7163 0.1021
2 Cl 0.1030 0.6981 0.2009
3 Hg 0.3386 0.7837 0.6021
4 I 0.4609 0.7224 0.3877
5 I 0.5391 0.2776 0.6123
6 I 0.4609 0.7776 0.8877
7 Hg 0.6614 0.2163 0.3979
8 Cl 0.8970 0.3019 0.7991
9 Cl 0.9770 0.8434 0.9225
10 Cl 0.9770 0.6566 0.4225
11 Hg 0.2315 0.2943 0.8948
12 Cl 0.8970 0.1981 0.2991
13 Hg 0.6614 0.2837 0.8979
14 S 0.0000 0.0000 0.5000
15 Hg 0.7685 0.7057 0.1052
16 Hg 0.2315 0.2057 0.3948
17 Hg 0.7685 0.7943 0.6052
18 S 0.0000 0.5000 0.0000
19 Cl 0.0230 0.3434 0.5775
20 Cl 0.1030 0.8019 0.7009
21 I 0.5391 0.2224 0.1123
22 Cl 0.0230 0.1566 0.0775

Properties
- Crystal system: monoclinic
- V: 30.3 Å³/atom
- Calculated total energy: -1.578 eV/atom